# LaCeEr3 (PBE, optimized geometry)
data_LaCeEr3
_cell_length_a 5.281
_cell_length_b 11.100
_cell_length_c 10.780
_cell_angle_alpha 90.00
_cell_angle_beta 90.00
_cell_angle_gamma 90.00
_symmetry_space_group_name_H-M 'C m m m'
_symmetry_Int_Tables_number 65
_symmetry_space_group_name_Hall '-C 2 2'
loop_
_atom_site_label
_atom_site_fract_x
_atom_site_fract_y
_atom_site_fract_z
La1 0.000 0.156 0.000
Ce1 0.000 0.379 0.500
Er1 0.000 0.151 0.316
Er2 0.000 0.500 0.177
# DOS at the Fermi energy = 1.68 states/eV per atom
# Formation energy = 149 meV/atom
# M_tot = 0.0 Bohr magnetons per cell
# Energy = -4.7614 eV per atom